Here is crystalline Ta2CrAs at its relaxed geometry from the Alexandria database. Energies are from GGA-PBE.

Cell: 4.069 3.271 5.066 Å, 71.09 90.00 90.00°
Sites, in units of the cell vectors:
As (0.000, 0.705, 0.467)
Cr (0.500, 0.536, 0.800)
Ta (0.000, 0.983, 0.911)
Ta (0.500, 0.277, 0.322)

DOS at the Fermi energy in states/eV/cell: 3.15
Formation energy from the elements in kJ/mol of formula units: -41
Total magnetization in μB per formula unit: 0.000